This record from Alexandria via LeMat-Bulk describes crystalline HoLuZnGe at its relaxed geometry. The functional is PBE.

Geometry as CIF:
```
data_HoLuZnGe
_space_group_name_H-M_alt 'F -4 3 m'
_space_group_IT_number 216
_space_group_name_Hall 'F -4 2 3'
_cell_length_a 7.006
_cell_length_b 7.006
_cell_length_c 7.006
_cell_angle_alpha 90.00
_cell_angle_beta 90.00
_cell_angle_gamma 90.00
loop_
_atom_site_label
_atom_site_type_symbol
_atom_site_fract_x
_atom_site_fract_y
_atom_site_fract_z
Ho1 Ho 0.000 0.000 0.000
Lu1 Lu 0.000 0.000 0.500
Zn1 Zn 0.250 0.250 0.750
Ge1 Ge 0.250 0.250 0.250
```

Its energy is -4.249 eV per atom.